A.
Below is NaSr3P after structural relaxation, with properties calculated at the PBE-GGA level.

It has space group C2/m (No. 12), with a = 14.048 Å, b = 6.158 Å, c = 10.576 Å, α = 90.00°, β = 110.22° and γ = 90.00°. The distinct sites, in fractional coordinates, are Na at (0.100, 0.000, 0.434), Sr at (0.096, 0.500, 0.195), Sr at (0.142, 0.000, 0.933), Sr at (0.152, 0.500, 0.661) and P at (0.130, 0.500, 0.929).

The density of states at the Fermi level is 15.06 states/eV/cell. Its crystal system is monoclinic.



B.
Below is NaSr3P after structural relaxation, with properties calculated at the PBE-GGA level.

It has space group Pm-3m (No. 221), with a = 6.017 Å, b = 6.017 Å, c = 6.017 Å, α = 90.00°, β = 90.00° and γ = 90.00°. The distinct sites, in fractional coordinates, are Na at (0.000, 0.000, 0.000), Sr at (0.000, 0.500, 0.500) and P at (0.500, 0.500, 0.500).

The density of states at the Fermi level is 4.86 states/eV/cell. Its crystal system is cubic.



Which of them is most stable, and which least? Most stable: B; least stable: A.



A.
Below is NaSr2P2 after structural relaxation, with properties calculated at the PBE-GGA level.

It has space group P4/mbm (No. 127), with a = 8.635 Å, b = 8.635 Å, c = 3.684 Å, α = 90.00°, β = 90.00° and γ = 90.00°. The distinct sites, in fractional coordinates, are Na at (0.000, 0.000, 0.000), Sr at (0.138, 0.362, 0.500) and P at (0.165, 0.665, 0.000).

The density of states at the Fermi level is 2.04 states/eV/cell. Its crystal system is tetragonal.



B.
Below is NaSr2P2 after structural relaxation, with properties calculated at the PBE-GGA level.

It has space group I4/mmm (No. 139), with a = 5.825 Å, b = 5.825 Å, c = 8.978 Å, α = 90.00°, β = 90.00° and γ = 90.00°. The distinct sites, in fractional coordinates, are Na at (0.000, 0.000, 0.000), Sr at (0.000, 0.500, 0.250) and P at (0.000, 0.000, 0.365).

The density of states at the Fermi level is 6.31 states/eV/cell. Its crystal system is tetragonal.



Which of them is most stable, and which least? Most stable: A; least stable: B.



A.
Below is NaSrP3 after structural relaxation, with properties calculated at the PBE-GGA level.

It has space group Pm-3m (No. 221), with a = 5.548 Å, b = 5.548 Å, c = 5.548 Å, α = 90.00°, β = 90.00° and γ = 90.00°. The distinct sites, in fractional coordinates, are Na at (0.000, 0.000, 0.000), Sr at (0.500, 0.500, 0.500) and P at (0.000, 0.500, 0.500).

The density of states at the Fermi level is 3.26 states/eV/cell. Its crystal system is cubic.



B.
Below is NaSrP3 after structural relaxation, with properties calculated at the PBE-GGA level.

It has space group Pm-3m (No. 221), with a = 4.945 Å, b = 4.945 Å, c = 4.945 Å, α = 90.00°, β = 90.00° and γ = 90.00°. The distinct sites, in fractional coordinates, are Na at (0.000, 0.000, 0.000), Sr at (0.500, 0.500, 0.500) and P at (0.000, 0.000, 0.500).

The density of states at the Fermi level is 3.10 states/eV/cell. Its crystal system is cubic.



Which of them is most stable, and which least? Most stable: B; least stable: A.



A.
Below is NaTa3P after structural relaxation, with properties calculated at the PBE-GGA level.

It has space group Pm-3m (No. 221), with a = 4.686 Å, b = 4.686 Å, c = 4.686 Å, α = 90.00°, β = 90.00° and γ = 90.00°. The distinct sites, in fractional coordinates, are Na at (0.000, 0.000, 0.000), Ta at (0.000, 0.500, 0.500) and P at (0.500, 0.500, 0.500).

The density of states at the Fermi level is 8.15 states/eV/cell. Its crystal system is cubic.



B.
Below is NaTa3P after structural relaxation, with properties calculated at the PBE-GGA level.

It has space group Pm-3m (No. 221), with a = 4.637 Å, b = 4.637 Å, c = 4.637 Å, α = 90.00°, β = 90.00° and γ = 90.00°. The distinct sites, in fractional coordinates, are Na at (0.000, 0.000, 0.000), Ta at (0.000, 0.000, 0.500) and P at (0.500, 0.500, 0.500).

The density of states at the Fermi level is 3.67 states/eV/cell. Its crystal system is cubic.



Which of them is most stable, and which least? Most stable: A; least stable: B.



A.
Below is NaTaP2 after structural relaxation, with properties calculated at the PBE-GGA level.

It has space group R3m (No. 160, hexagonal axes), with a = 3.5119 Å, b = 3.5119 Å, c = 21.8617 Å, α = 90.00°, β = 90.00° and γ = 120.00°. The distinct sites, in fractional coordinates, are Na at (0.0000, 0.0000, 0.0000), Ta at (0.0000, 0.0000, 0.1680), P at (0.0000, 0.0000, 0.5707) and P at (0.0000, 0.0000, 0.7644).

The density of states at the Fermi level is 5.13 states/eV/cell. Its crystal system is trigonal.



B.
Below is NaTaP2 after structural relaxation, with properties calculated at the PBE-GGA level.

It has space group Fm-3m (No. 225), with a = 6.389 Å, b = 6.389 Å, c = 6.389 Å, α = 90.00°, β = 90.00° and γ = 90.00°. The distinct sites, in fractional coordinates, are Na at (0.000, 0.000, 0.000), Ta at (0.000, 0.000, 0.500) and P at (0.250, 0.250, 0.250).

The density of states at the Fermi level is 19.97 states/eV/cell. Its crystal system is cubic.



Which of them is most stable, and which least? Most stable: A; least stable: B.



A.
Below is NaTaP2 after structural relaxation, with properties calculated at the PBE-GGA level.

It has space group R-3m (No. 166, hexagonal axes), with a = 3.4990 Å, b = 3.4990 Å, c = 21.8459 Å, α = 90.00°, β = 90.00° and γ = 120.00°. The distinct sites, in fractional coordinates, are Na at (0.0000, 0.0000, 0.0000), Ta at (0.0000, 0.0000, 0.5000) and P at (0.0000, 0.0000, 0.2371).

The density of states at the Fermi level is 5.79 states/eV/cell. Its crystal system is trigonal.



B.
Below is NaTaP2 after structural relaxation, with properties calculated at the PBE-GGA level.

It has space group I-42d (No. 122), with a = 6.426 Å, b = 6.426 Å, c = 10.563 Å, α = 90.00°, β = 90.00° and γ = 90.00°. The distinct sites, in fractional coordinates, are Na at (0.000, 0.000, 0.000), Ta at (0.000, 0.000, 0.500) and P at (0.180, 0.250, 0.625).

The density of states at the Fermi level is 0.00 states/eV/cell. Its crystal system is tetragonal.



Which of them is most stable, and which least? Most stable: A; least stable: B.



A.
Below is Na3TaP after structural relaxation, with properties calculated at the PBE-GGA level.

It has space group Pm-3m (No. 221), with a = 5.350 Å, b = 5.350 Å, c = 5.350 Å, α = 90.00°, β = 90.00° and γ = 90.00°. The distinct sites, in fractional coordinates, are Na at (0.000, 0.000, 0.500), Ta at (0.500, 0.500, 0.500) and P at (0.000, 0.000, 0.000).

The density of states at the Fermi level is 8.47 states/eV/cell. Its crystal system is cubic.



B.
Below is Na3TaP after structural relaxation, with properties calculated at the PBE-GGA level.

It has space group Pm-3m (No. 221), with a = 5.838 Å, b = 5.838 Å, c = 5.838 Å, α = 90.00°, β = 90.00° and γ = 90.00°. The distinct sites, in fractional coordinates, are Na at (0.000, 0.000, 0.500), Ta at (0.000, 0.000, 0.000) and P at (0.500, 0.500, 0.500).

The density of states at the Fermi level is 5.06 states/eV/cell. Its crystal system is cubic.



Which of them is most stable, and which least? Most stable: A; least stable: B.



A.
Below is NaTa2P2 after structural relaxation, with properties calculated at the PBE-GGA level.

It has space group P4/mbm (No. 127), with a = 7.307 Å, b = 7.307 Å, c = 3.141 Å, α = 90.00°, β = 90.00° and γ = 90.00°. The distinct sites, in fractional coordinates, are Na at (0.000, 0.000, 0.000), Ta at (0.135, 0.365, 0.000) and P at (0.150, 0.650, 0.500).

The density of states at the Fermi level is 7.90 states/eV/cell. Its crystal system is tetragonal.



B.
Below is NaTa2P2 after structural relaxation, with properties calculated at the PBE-GGA level.

It has space group I4/mmm (No. 139), with a = 4.714 Å, b = 4.714 Å, c = 8.945 Å, α = 90.00°, β = 90.00° and γ = 90.00°. The distinct sites, in fractional coordinates, are Na at (0.000, 0.000, 0.000), Ta at (0.000, 0.000, 0.350) and P at (0.000, 0.500, 0.250).

The density of states at the Fermi level is 4.48 states/eV/cell. Its crystal system is tetragonal.



Which of them is most stable, and which least? Most stable: A; least stable: B.